[1]
Below is a geometry-optimized Na3Rh3WSe8 structure, with properties calculated at the GGA-PBE level.

Total magnetization   1.88 μB per formula unit
V   22.4 Å³ per atom
Raw total energy   -4.993 eV/atom

Unit cell a=7.5522 b=7.5522 c=20.4031 alpha=90.00 beta=90.00 gamma=120.00
Space group R-3m (No. 166, hexagonal axes)
Symmetry-distinct sites (fractional):
Na 0.0000 0.5000 0.0000 (multiplicity 9)
Rh 0.0000 0.5000 0.5000 (multiplicity 9)
W 0.0000 0.0000 0.5000 (multiplicity 3)
Se 0.0000 0.0000 0.2295 (multiplicity 6)
Se 0.0063 0.5031 0.7678 (multiplicity 18)



[2]
Below is a geometry-optimized NaZr2RhSe structure, with properties calculated at the GGA-PBE level.

Total magnetization   0.00 μB per formula unit
V   23.9 Å³ per atom
Raw total energy   -5.723 eV/atom

Unit cell a=5.0577 b=5.0577 c=4.6767 alpha=90.00 beta=90.00 gamma=90.00
Space group P4/mmm (No. 123)
Symmetry-distinct sites (fractional):
Na 0.0000 0.0000 0.0000 (multiplicity 1)
Zr 0.0000 0.5000 0.5000 (multiplicity 2)
Rh 0.5000 0.5000 0.0000 (multiplicity 1)
Se 0.5000 0.5000 0.5000 (multiplicity 1)



[3]
Below is a geometry-optimized Na3Zr2RhSe6 structure, with properties calculated at the GGA-PBE level.

Total magnetization   1.98 μB per formula unit
V   22.9 Å³ per atom
Raw total energy   -5.171 eV/atom

Unit cell a=6.7065 b=11.6684 c=7.3607 alpha=90.00 beta=107.80 gamma=90.00
Space group C2/m (No. 12)
Symmetry-distinct sites (fractional):
Na 0.0000 0.0000 0.0000 (multiplicity 2)
Na 0.0000 0.3317 0.0000 (multiplicity 4)
Zr 0.0000 0.1652 0.5000 (multiplicity 4)
Rh 0.0000 0.5000 0.5000 (multiplicity 2)
Se 0.2357 0.3362 0.7172 (multiplicity 8)
Se 0.2470 0.0000 0.7191 (multiplicity 4)



[4]
Below is a geometry-optimized Na3ZrRh2Se6 structure, with properties calculated at the GGA-PBE level.

Total magnetization   0.00 μB per formula unit
V   21.9 Å³ per atom
Raw total energy   -4.862 eV/atom

Unit cell a=6.6011 b=11.4320 c=7.3014 alpha=90.00 beta=107.53 gamma=90.00
Space group C2/m (No. 12)
Symmetry-distinct sites (fractional):
Na 0.0000 0.0000 0.0000 (multiplicity 2)
Na 0.0000 0.3374 0.0000 (multiplicity 4)
Zr 0.0000 0.5000 0.5000 (multiplicity 2)
Rh 0.0000 0.1673 0.5000 (multiplicity 4)
Se 0.2166 0.0000 0.7046 (multiplicity 4)
Se 0.2444 0.3246 0.7052 (multiplicity 8)



[5]
Below is a geometry-optimized Na3Zr3RhSe8 structure, with properties calculated at the GGA-PBE level.

Total magnetization   0.00 μB per formula unit
V   24.1 Å³ per atom
Raw total energy   -5.467 eV/atom

Unit cell a=7.5809 b=7.5809 c=21.8169 alpha=90.00 beta=90.00 gamma=120.00
Space group R-3m (No. 166, hexagonal axes)
Symmetry-distinct sites (fractional):
Na 0.0000 0.5000 0.0000 (multiplicity 9)
Zr 0.0000 0.5000 0.5000 (multiplicity 9)
Rh 0.0000 0.0000 0.5000 (multiplicity 3)
Se 0.0000 0.0000 0.2417 (multiplicity 6)
Se 0.0153 0.5076 0.2378 (multiplicity 18)



[6]
Below is a geometry-optimized Na4Zr3RhSe8 structure, with properties calculated at the GGA-PBE level.

Total magnetization   0.65 μB per formula unit
V   22.8 Å³ per atom
Raw total energy   -5.261 eV/atom

Unit cell a=7.7014 b=7.7014 c=21.2909 alpha=90.00 beta=90.00 gamma=120.00
Space group R-3m (No. 166, hexagonal axes)
Symmetry-distinct sites (fractional):
Na 0.0000 0.0000 0.0000 (multiplicity 3)
Na 0.0000 0.5000 0.0000 (multiplicity 9)
Zr 0.0000 0.5000 0.5000 (multiplicity 9)
Rh 0.0000 0.0000 0.5000 (multiplicity 3)
Se 0.0000 0.0000 0.2422 (multiplicity 6)
Se 0.0110 0.5055 0.2390 (multiplicity 18)



[7]
Below is a geometry-optimized NaSi2Rh structure, with properties calculated at the GGA-PBE level.

Total magnetization   0.00 μB per formula unit
V   23.8 Å³ per atom
Raw total energy   -4.937 eV/atom
Relative energy among the computed polymorphs   75.6 kJ/mol of formula units

Unit cell a=5.0022 b=5.0022 c=15.2186 alpha=90.00 beta=90.00 gamma=90.00
Space group I-42d (No. 122)
Symmetry-distinct sites (fractional):
Na 0.0000 0.0000 0.0000 (multiplicity 4)
Si 0.0020 0.2500 0.6250 (multiplicity 8)
Rh 0.0000 0.0000 0.5000 (multiplicity 4)



[8]
Below is a geometry-optimized NaSi4Rh6 structure, with properties calculated at the GGA-PBE level.

Total magnetization   0.00 μB per formula unit
V   14.5 Å³ per atom
Raw total energy   -6.850 eV/atom

Unit cell a=7.0842 b=7.0842 c=3.6777 alpha=90.00 beta=90.00 gamma=120.00
Space group P-6m2 (No. 187)
Symmetry-distinct sites (fractional):
Na 0.0000 0.0000 0.0000 (multiplicity 1)
Si 0.3333 0.6667 0.0000 (multiplicity 1)
Si 0.3992 0.1996 0.5000 (multiplicity 3)
Rh 0.1958 0.3915 0.5000 (multiplicity 3)
Rh 0.5339 0.0679 0.0000 (multiplicity 3)



Number 1: ΔE_f (raw) -537 meV/atom. Number 2: ΔE_f (raw) 128 meV/atom. Number 3: ΔE_f (raw) -1062 meV/atom. Number 4: ΔE_f (raw) -853 meV/atom. Number 5: ΔE_f (raw) -1145 meV/atom. Number 6: ΔE_f (raw) -1126 meV/atom. Number 7: ΔE_f (raw) -58 meV/atom. Number 8: ΔE_f (raw) -748 meV/atom.